No. 1
Density functional theory data (GGA-PBE) for crystalline DyAl4Cu2Au at its relaxed geometry.

Results
Uncorrected energy (eV/atom): -4.21
Mass density (g/cm³): 7.05
Total magnetic moment (μB per atom): 0.0000
Space-group type: R-3m, No. 166

Unit cell a=9.3660 b=9.3660 c=9.3660 alpha=26.09 beta=26.09 gamma=26.09
Element x y z (fractional)
Dy 0.0000 0.0000 0.0000
Al 0.1204 0.1204 0.1204
Al 0.4023 0.4023 0.4023
Al 0.5977 0.5977 0.5977
Al 0.8796 0.8796 0.8796
Cu 0.2591 0.2591 0.2591
Cu 0.7409 0.7409 0.7409
Au 0.5000 0.5000 0.5000

---

No. 2
Density functional theory data (GGA-PBE) for crystalline K3Tl2Cd3 at its relaxed geometry.

Results
Uncorrected energy (eV/atom): -1.42
Mass density (g/cm³): 4.82
Total magnetic moment (μB per atom): 0.0000
Space-group type: Pnma, No. 62

Unit cell a=9.9204 b=17.3442 c=6.9083 alpha=90.00 beta=90.00 gamma=90.00
Element x y z (fractional)
K 0.0445 0.1082 0.1169
K 0.0445 0.3918 0.1169
K 0.1935 0.2500 0.6090
K 0.3065 0.7500 0.1090
K 0.4555 0.6082 0.6169
K 0.4555 0.8918 0.6169
K 0.5445 0.1082 0.3831
K 0.5445 0.3918 0.3831
K 0.6935 0.2500 0.8910
K 0.8065 0.7500 0.3910
K 0.9555 0.6082 0.8831
K 0.9555 0.8918 0.8831
Tl 0.0916 0.6003 0.3879
Tl 0.0916 0.8997 0.3879
Tl 0.4084 0.1003 0.8879
Tl 0.4084 0.3997 0.8879
Tl 0.5916 0.6003 0.1121
Tl 0.5916 0.8997 0.1121
Tl 0.9084 0.1003 0.6121
Tl 0.9084 0.3997 0.6121
Cd 0.1586 0.7500 0.6015
Cd 0.1916 0.0333 0.6328
Cd 0.1916 0.4667 0.6328
Cd 0.3084 0.5333 0.1328
Cd 0.3084 0.9667 0.1328
Cd 0.3414 0.2500 0.1015
Cd 0.6586 0.7500 0.8985
Cd 0.6916 0.0333 0.8672
Cd 0.6916 0.4667 0.8672
Cd 0.8084 0.5333 0.3672
Cd 0.8084 0.9667 0.3672
Cd 0.8414 0.2500 0.3985

---

No. 3
Density functional theory data (GGA-PBE) for crystalline Pr2Nd4Y3 at its relaxed geometry.

Results
Uncorrected energy (eV/atom): -5.26
Mass density (g/cm³): 6.05
Total magnetic moment (μB per atom): 0.0000
Space-group type: C2/c, No. 15
Polymorph energy (0 for the lowest one) (meV/atom): 65

Unit cell a=10.4149 b=10.4149 c=6.1205 alpha=96.10 beta=96.10 gamma=69.83
Element x y z (fractional)
Pr 0.0059 0.7843 0.7106
Pr 0.2157 0.9941 0.7894
Pr 0.7843 0.0059 0.2106
Pr 0.9941 0.2157 0.2894
Nd 0.1195 0.3396 0.8745
Nd 0.3286 0.5475 0.9575
Nd 0.3396 0.1195 0.3745
Nd 0.4525 0.6714 0.5425
Nd 0.5475 0.3286 0.4575
Nd 0.6604 0.8805 0.6255
Nd 0.6714 0.4525 0.0425
Nd 0.8805 0.6604 0.1255
Y 0.1484 0.8516 0.2500
Y 0.1860 0.4818 0.4157
Y 0.4818 0.1860 0.9157
Y 0.5182 0.8140 0.0843
Y 0.8140 0.5182 0.5843
Y 0.8516 0.1484 0.7500

---

No. 4
Density functional theory data (GGA-PBE) for crystalline Ca2P2Pb at its relaxed geometry.

Results
Uncorrected energy (eV/atom): -4.40
Mass density (g/cm³): 4.81
Total magnetic moment (μB per atom): 0.0000
Space-group type: P4/mbm, No. 127
Polymorph energy (0 for the lowest one) (meV/atom): 0

Unit cell a=8.1721 b=8.1721 c=3.6082 alpha=90.00 beta=90.00 gamma=90.00
Element x y z (fractional)
Ca 0.1418 0.3582 0.0000
Ca 0.3582 0.8582 0.0000
Ca 0.6418 0.1418 0.0000
Ca 0.8582 0.6418 0.0000
P 0.1609 0.6609 0.5000
P 0.3391 0.1609 0.5000
P 0.6609 0.8391 0.5000
P 0.8391 0.3391 0.5000
Pb 0.0000 0.0000 0.5000
Pb 0.5000 0.5000 0.5000

---

No. 5
Density functional theory data (GGA-PBE) for crystalline Rb2ICl5 at its relaxed geometry.

Results
E_form (uncorrected) (kcal/mol of atoms): -25.110
Uncorrected energy (eV/atom): -2.68
Mass density (g/cm³): 2.42
Total magnetic moment (μB per atom): 0.0185
Space-group type: P2_1/c, No. 14
Polymorph energy (0 for the lowest one) (meV/atom): 0

Unit cell a=12.2498 b=10.7977 c=10.4578 alpha=90.00 beta=109.17 gamma=90.00
Element x y z (fractional)
Rb 0.0143 0.1392 0.3132
Rb 0.0143 0.3608 0.8132
Rb 0.3522 0.6377 0.0228
Rb 0.3522 0.8623 0.5228
Rb 0.6478 0.1377 0.4772
Rb 0.6478 0.3623 0.9772
Rb 0.9857 0.6392 0.1868
Rb 0.9857 0.8608 0.6868
I 0.3481 0.1195 0.0730
I 0.3481 0.3805 0.5730
I 0.6519 0.6195 0.4270
I 0.6519 0.8805 0.9270
Cl 0.0819 0.6443 0.9232
Cl 0.0819 0.8557 0.4232
Cl 0.1341 0.0974 0.0062
Cl 0.1341 0.4026 0.5062
Cl 0.3296 0.1766 0.4409
Cl 0.3296 0.3234 0.9409
Cl 0.3747 0.5786 0.7052
Cl 0.3747 0.9214 0.2052
Cl 0.4301 0.6317 0.3569
Cl 0.4301 0.8683 0.8569
Cl 0.5699 0.1317 0.1431
Cl 0.5699 0.3683 0.6431
Cl 0.6253 0.0786 0.7948
Cl 0.6253 0.4214 0.2948
Cl 0.6704 0.6766 0.0591
Cl 0.6704 0.8234 0.5591
Cl 0.8659 0.5974 0.4938
Cl 0.8659 0.9026 0.9938
Cl 0.9181 0.1443 0.5768
Cl 0.9181 0.3557 0.0768

---

No. 6
Density functional theory data (GGA-PBE) for crystalline Pm3CoCu3 at its relaxed geometry.

Results
Uncorrected energy (eV/atom): -4.96
Mass density (g/cm³): 7.59
Total magnetic moment (μB per atom): 0.0000
Space-group type: Imm2, No. 44

Unit cell a=3.8769 b=4.3003 c=17.9660 alpha=90.00 beta=90.00 gamma=90.00
Element x y z (fractional)
Pm 0.0000 0.0000 0.0000
Pm 0.0000 0.0000 0.3636
Pm 0.0000 0.5000 0.1909
Pm 0.5000 0.0000 0.6909
Pm 0.5000 0.5000 0.5000
Pm 0.5000 0.5000 0.8636
Co 0.0000 0.5000 0.7554
Co 0.5000 0.0000 0.2554
Cu 0.0000 0.0000 0.5488
Cu 0.0000 0.0000 0.8220
Cu 0.0000 0.5000 0.6234
Cu 0.5000 0.0000 0.1234
Cu 0.5000 0.5000 0.0488
Cu 0.5000 0.5000 0.3220

---

No. 7
Density functional theory data (GGA-PBE) for crystalline Tl4In at its relaxed geometry.

Results
Uncorrected energy (eV/atom): -2.38
Mass density (g/cm³): 9.73
Total magnetic moment (μB per atom): 0.0000
Space-group type: P4/nbm, No. 125
Polymorph energy (0 for the lowest one) (meV/atom): 25

Unit cell a=7.5511 b=7.5511 c=5.5811 alpha=90.00 beta=90.00 gamma=90.00
Element x y z (fractional)
Tl 0.0946 0.5946 0.2365
Tl 0.0946 0.9054 0.7635
Tl 0.4054 0.5946 0.7635
Tl 0.4054 0.9054 0.2365
Tl 0.5946 0.0946 0.7635
Tl 0.5946 0.4054 0.2365
Tl 0.9054 0.0946 0.2365
Tl 0.9054 0.4054 0.7635
In 0.2500 0.2500 0.5000
In 0.7500 0.7500 0.5000

---

No. 8
Density functional theory data (GGA-PBE) for crystalline TmSc2Au3 at its relaxed geometry.

Results
Uncorrected energy (eV/atom): -5.31
Mass density (g/cm³): 11.36
Total magnetic moment (μB per atom): 0.0000
Space-group type: P-3m1, No. 164
Polymorph energy (0 for the lowest one) (meV/atom): 14

Unit cell a=4.8846 b=4.8846 c=12.0234 alpha=90.00 beta=90.00 gamma=120.00
Element x y z (fractional)
Tm 0.3333 0.6667 0.1694
Tm 0.6667 0.3333 0.8306
Sc 0.0000 0.0000 0.0000
Sc 0.0000 0.0000 0.5000
Sc 0.3333 0.6667 0.6628
Sc 0.6667 0.3333 0.3372
Au 0.0000 0.0000 0.2584
Au 0.0000 0.0000 0.7416
Au 0.3333 0.6667 0.4219
Au 0.3333 0.6667 0.9187
Au 0.6667 0.3333 0.0813
Au 0.6667 0.3333 0.5781